(1)
A plane-wave DFT calculation with PBE was carried out for LiMgZnF6 after structural relaxation.

Values from the calculation:
Magnetization: 2.141 μB per cell
ΔE_f (raw): -2.58 eV per atom

Cell and atoms, written as CIF:
```
data_LiMgZnF6
_cell_length_a 4.6985
_cell_length_b 4.6985
_cell_length_c 9.2314
_cell_angle_alpha 90.00
_cell_angle_beta 90.00
_cell_angle_gamma 90.00
_space_group_name_H-M_alt 'P 42 n m'
_space_group_IT_number 102
_space_group_name_Hall 'P 4n -2n'
loop_
_atom_site_label
_atom_site_type_symbol
_atom_site_fract_x
_atom_site_fract_y
_atom_site_fract_z
Li1 Li 0.0000 0.0000 0.0000
Mg1 Mg 0.0000 0.0000 0.6689
Zn1 Zn 0.0000 0.0000 0.3321
F1 F 0.1913 0.1913 0.4988
F2 F 0.1968 0.1968 0.1699
F3 F 0.1988 0.1988 0.8309
```

(2)
A plane-wave DFT calculation with PBE was carried out for LiMgZnF5 after structural relaxation.

Values from the calculation:
Magnetization: 0.000 μB per cell
ΔE_f (raw): -2.82 eV per atom

Cell and atoms, written as CIF:
```
data_LiMgZnF5
_cell_length_a 6.4347
_cell_length_b 8.8309
_cell_length_c 7.4154
_cell_angle_alpha 90.00
_cell_angle_beta 115.41
_cell_angle_gamma 90.00
_space_group_name_H-M_alt 'C 1 2/c 1'
_space_group_IT_number 15
_space_group_name_Hall '-C 2yc'
loop_
_atom_site_label
_atom_site_type_symbol
_atom_site_fract_x
_atom_site_fract_y
_atom_site_fract_z
Li1 Li 0.0000 0.1891 0.2500
Mg1 Mg 0.0000 0.1413 0.7500
Zn1 Zn 0.0000 0.5000 0.0000
F1 F 0.0000 0.3726 0.7500
F2 F 0.1600 0.0394 0.4334
F3 F 0.1645 0.3194 0.1692
```